## Y3MgBe (PBE-GGA)

Data for crystalline Y3MgBe at its relaxed geometry.

Unit cell a=5.281 b=5.281 c=5.281 alpha=90.00 beta=90.00 gamma=90.00
Last column: magnetic moment on the atom in μB.
Atoms (fractional coordinates):
Be: 0.000 0.000 0.000  0.05
Mg: 0.500 0.500 0.500  0.04
Y: 0.000 0.500 0.000  0.24
Y: 0.500 0.000 0.000  0.28
Y: 0.000 0.000 0.500  0.18

Summary:
Distance to the lowest polymorph of the same formula: 0.0 meV/atom
N(E_F): 1.840 states/eV/atom
Electronic total energy: -23.5 eV for the cell shown
DFT formation energy: 239 meV per atom